# 1
# BPdI2N GGA-PBE optimized geometry
data_BPdI2N
_cell_length_a 6.178
_cell_length_b 6.178
_cell_length_c 2.790
_cell_angle_alpha 90.00
_cell_angle_beta 90.00
_cell_angle_gamma 90.00
_symmetry_space_group_name_H-M 'P 4/m m m'
_symmetry_Int_Tables_number 123
_symmetry_space_group_name_Hall '-P 4 2'
loop_
_atom_site_label
_atom_site_fract_x
_atom_site_fract_y
_atom_site_fract_z
B1 0.000 0.000 0.000
Pd1 0.500 0.500 0.500
I1 0.000 0.500 0.000
N1 0.000 0.000 0.500
# Total moment = 0.4 μB/f.u.
# Formation energy (no corrections) = 0.3537 eV per atom
# Mass density = 6.0 g/cm³
# Calculated total energy = -4.31 eV/atom

# 2
# BPdI2N GGA-PBE optimized geometry
data_BPdI2N
_cell_length_a 5.675
_cell_length_b 5.675
_cell_length_c 3.770
_cell_angle_alpha 90.00
_cell_angle_beta 90.00
_cell_angle_gamma 90.00
_symmetry_space_group_name_H-M 'P 4/m m m'
_symmetry_Int_Tables_number 123
_symmetry_space_group_name_Hall '-P 4 2'
loop_
_atom_site_label
_atom_site_fract_x
_atom_site_fract_y
_atom_site_fract_z
B1 0.000 0.000 0.000
Pd1 0.500 0.500 0.500
I1 0.000 0.500 0.500
N1 0.500 0.500 0.000
# Total moment = 0.0 μB/f.u.
# Formation energy (no corrections) = 1.4204 eV per atom
# Mass density = 5.3 g/cm³
# Calculated total energy = -3.24 eV/atom

# 3
# Pr4BI2N GGA-PBE optimized geometry
data_Pr4BI2N
_cell_length_a 6.756
_cell_length_b 3.981
_cell_length_c 8.216
_cell_angle_alpha 90.00
_cell_angle_beta 106.52
_cell_angle_gamma 90.00
_symmetry_space_group_name_H-M 'P 1 2/m 1'
_symmetry_Int_Tables_number 10
_symmetry_space_group_name_Hall '-P 2y'
loop_
_atom_site_label
_atom_site_fract_x
_atom_site_fract_y
_atom_site_fract_z
Pr1 0.217 0.000 0.174
Pr2 0.262 0.500 0.823
B1 0.500 0.000 0.000
I1 0.000 0.000 0.500
I2 0.500 0.500 0.500
N1 0.000 0.500 0.000
# Total moment = 0.0 μB/f.u.
# Formation energy (no corrections) = -0.8901 eV per atom
# Mass density = 6.6 g/cm³
# Calculated total energy = -5.54 eV/atom

# 4
# BPtIN2 GGA-PBE optimized geometry
data_BPtIN2
_cell_length_a 3.752
_cell_length_b 3.752
_cell_length_c 8.846
_cell_angle_alpha 90.00
_cell_angle_beta 90.00
_cell_angle_gamma 90.00
_symmetry_space_group_name_H-M 'P 4/m m m'
_symmetry_Int_Tables_number 123
_symmetry_space_group_name_Hall '-P 4 2'
loop_
_atom_site_label
_atom_site_fract_x
_atom_site_fract_y
_atom_site_fract_z
B1 0.000 0.000 0.000
Pt1 0.500 0.500 0.500
I1 0.500 0.500 0.000
N1 0.000 0.500 0.500
# Total moment = 0.0 μB/f.u.
# Formation energy (no corrections) = 1.7024 eV per atom
# Mass density = 4.8 g/cm³
# Calculated total energy = -4.48 eV/atom

# 5
# BPtI2N GGA-PBE optimized geometry
data_BPtI2N
_cell_length_a 5.715
_cell_length_b 5.715
_cell_length_c 3.737
_cell_angle_alpha 90.00
_cell_angle_beta 90.00
_cell_angle_gamma 90.00
_symmetry_space_group_name_H-M 'P 4/m m m'
_symmetry_Int_Tables_number 123
_symmetry_space_group_name_Hall '-P 4 2'
loop_
_atom_site_label
_atom_site_fract_x
_atom_site_fract_y
_atom_site_fract_z
B1 0.000 0.000 0.000
Pt1 0.500 0.500 0.500
I1 0.000 0.500 0.500
N1 0.500 0.500 0.000
# Total moment = 0.0 μB/f.u.
# Formation energy (no corrections) = 1.2760 eV per atom
# Mass density = 6.4 g/cm³
# Calculated total energy = -3.55 eV/atom

# 6
# BPtIN2 GGA-PBE optimized geometry
data_BPtIN2
_cell_length_a 3.499
_cell_length_b 3.499
_cell_length_c 8.039
_cell_angle_alpha 90.00
_cell_angle_beta 90.00
_cell_angle_gamma 90.00
_symmetry_space_group_name_H-M 'P 4/m m m'
_symmetry_Int_Tables_number 123
_symmetry_space_group_name_Hall '-P 4 2'
loop_
_atom_site_label
_atom_site_fract_x
_atom_site_fract_y
_atom_site_fract_z
B1 0.000 0.000 0.000
Pt1 0.500 0.500 0.500
I1 0.000 0.000 0.500
N1 0.000 0.500 0.000
# Total moment = 0.2 μB/f.u.
# Formation energy (no corrections) = 1.6998 eV per atom
# Mass density = 6.1 g/cm³
# Calculated total energy = -4.48 eV/atom

# 7
# BPtI2N GGA-PBE optimized geometry
data_BPtI2N
_cell_length_a 6.135
_cell_length_b 6.135
_cell_length_c 2.769
_cell_angle_alpha 90.00
_cell_angle_beta 90.00
_cell_angle_gamma 90.00
_symmetry_space_group_name_H-M 'P 4/m m m'
_symmetry_Int_Tables_number 123
_symmetry_space_group_name_Hall '-P 4 2'
loop_
_atom_site_label
_atom_site_fract_x
_atom_site_fract_y
_atom_site_fract_z
B1 0.000 0.000 0.000
Pt1 0.500 0.500 0.500
I1 0.000 0.500 0.000
N1 0.000 0.000 0.500
# Total moment = 0.6 μB/f.u.
# Formation energy (no corrections) = 0.5034 eV per atom
# Mass density = 7.5 g/cm³
# Calculated total energy = -4.33 eV/atom

# 8
# RbBIN2 GGA-PBE optimized geometry
data_RbBIN2
_cell_length_a 5.398
_cell_length_b 5.398
_cell_length_c 7.266
_cell_angle_alpha 90.00
_cell_angle_beta 90.00
_cell_angle_gamma 90.00
_symmetry_space_group_name_H-M 'P 4/m m m'
_symmetry_Int_Tables_number 123
_symmetry_space_group_name_Hall '-P 4 2'
loop_
_atom_site_label
_atom_site_fract_x
_atom_site_fract_y
_atom_site_fract_z
Rb1 0.000 0.000 0.000
B1 0.500 0.500 0.500
I1 0.000 0.000 0.500
N1 0.000 0.500 0.000
# Total moment = 5.0 μB/f.u.
# Formation energy (no corrections) = 2.6611 eV per atom
# Mass density = 2.0 g/cm³
# Calculated total energy = -2.51 eV/atom